1.
# ZnCl, relaxed, DFT PBE
# Mass density, g/cm³: 4.23
# E_tot, eV/atom: -1.638
# Density of states at the Fermi level, states/eV per atom: 0.811
# Volume, A^3/atom: 19.818
# Formation energy (no corrections), eV per atom: -0.08
data_ZnCl
_chemical_formula_sum 'Zn1 Cl1'
_cell_length_a 3.410
_cell_length_b 3.410
_cell_length_c 3.410
_cell_angle_alpha 90.00
_cell_angle_beta 90.00
_cell_angle_gamma 90.00
_symmetry_space_group_name_H-M 'P m -3 m'
_symmetry_Int_Tables_number 221
_symmetry_space_group_name_Hall '-P 4 2 3'
loop_
_atom_site_label
_atom_site_fract_x
_atom_site_fract_y
_atom_site_fract_z
_atom_site_occupancy
Zn1 0.000 0.000 0.000 1
Cl1 0.500 0.500 0.500 1

2.
# Zn3Cl, relaxed, DFT PBE
# Mass density, g/cm³: 4.93
# E_tot, eV/atom: -1.489
# Density of states at the Fermi level, states/eV per atom: 0.250
# Excess energy over the best structure of this formula in the dataset, meV per atom: 84
# Volume, A^3/atom: 19.507
# Formation energy (no corrections), eV per atom: -0.07
data_Zn3Cl
_chemical_formula_sum 'Zn6 Cl2'
_cell_length_a 3.363
_cell_length_b 5.879
_cell_length_c 7.892
_cell_angle_alpha 90.00
_cell_angle_beta 90.00
_cell_angle_gamma 90.00
_symmetry_space_group_name_H-M 'C m m m'
_symmetry_Int_Tables_number 65
_symmetry_space_group_name_Hall '-C 2 2'
loop_
_atom_site_label
_atom_site_fract_x
_atom_site_fract_y
_atom_site_fract_z
_atom_site_occupancy
Zn1 0.000 0.000 0.000 1
Zn2 0.000 0.500 0.243 1
Cl1 0.000 0.000 0.500 1